(1)
{"formula": "CrMo2Rh", "functional": "PBE", "state": "optimized geometry", "cell": [[2.691, 0.000, 0.000], [0.000, 4.348, 0.000], [-0.657, 0.000, 4.962]], "species": ["Cr", "Mo", "Mo", "Rh"], "frac_coords": [[0.000, 0.000, 0.000], [0.454, 0.000, 0.487], [0.698, 0.500, 0.202], [0.055, 0.500, 0.718]], "total_energy_ev_per_cell": -38.320, "space_group": "Pm", "delta_e_f_ev_per_atom": 0.079, "total_magnetization_mub_per_cell": 0.00, "e_above_lowest_polymorph_ev_per_atom": 0.002}

(2)
{"formula": "RbPaCl14", "functional": "PBE", "state": "optimized geometry", "cell": [[7.997, 0.000, 0.000], [-3.964, 7.761, 0.000], [-0.323, -1.909, 10.367]], "species": ["Rb", "Pa", "Cl", "Cl", "Cl", "Cl", "Cl", "Cl", "Cl", "Cl", "Cl", "Cl", "Cl", "Cl", "Cl", "Cl"], "frac_coords": [[0.000, 0.000, 0.000], [0.997, 0.499, 0.012], [0.008, 0.710, 0.211], [0.199, 0.584, 0.539], [0.240, 0.765, 0.927], [0.261, 0.454, 0.115], [0.331, 0.897, 0.592], [0.332, 0.396, 0.459], [0.348, 0.185, 0.349], [0.412, 0.133, 0.716], [0.732, 0.544, 0.905], [0.757, 0.232, 0.100], [0.772, 0.769, 0.676], [0.777, 0.047, 0.374], [0.824, 0.894, 0.502], [0.983, 0.289, 0.811]], "total_energy_ev_per_cell": -50.238, "space_group": "P1", "formation_energy_uncorrected_mev_per_atom": -870, "total_magnetization_mub_per_cell": 1.93}

(3)
{"formula": "Li2Zn2Ni", "functional": "PBE", "state": "optimized geometry", "cell": [[7.196, 0.000, 0.000], [0.000, 4.194, 0.000], [-2.327, 0.000, 4.409]], "species": ["Li", "Li", "Li", "Li", "Zn", "Zn", "Zn", "Zn", "Ni", "Ni"], "frac_coords": [[0.197, 0.000, 0.091], [0.303, 0.500, 0.909], [0.697, 0.500, 0.091], [0.803, 0.000, 0.909], [0.110, 0.500, 0.330], [0.390, 0.000, 0.670], [0.610, 0.000, 0.330], [0.890, 0.500, 0.670], [0.000, 0.000, 0.500], [0.500, 0.500, 0.500]], "total_energy_ev_per_cell": -26.225, "space_group": "C2/m", "delta_e_f_ev_per_atom": -0.191, "total_magnetization_mub_per_cell": 0.00, "e_above_lowest_polymorph_ev_per_atom": 0.000}

(4)
{"formula": "Rb2PrThS4", "functional": "PBE", "state": "optimized geometry", "cell": [[7.261, 0.000, 0.000], [0.000, 4.202, 0.000], [-2.413, 0.000, 7.758]], "species": ["Rb", "Rb", "Pr", "Th", "S", "S", "S", "S"], "frac_coords": [[0.000, 0.000, 0.000], [0.500, 0.500, 0.000], [0.000, 0.500, 0.500], [0.500, 0.000, 0.500], [0.243, 0.000, 0.702], [0.274, 0.500, 0.300], [0.726, 0.500, 0.700], [0.757, 0.000, 0.298]], "total_energy_ev_per_cell": -44.537, "space_group": "P2/m", "formation_energy_uncorrected_mev_per_atom": -1737, "total_magnetization_mub_per_cell": 0.00}

(5)
{"formula": "Ho2BiSb", "functional": "PBE", "state": "optimized geometry", "cell": [[4.416, -8.817, 0.000], [4.416, 8.817, 0.000], [-4.410, 0.000, 6.242]], "species": ["Ho", "Ho", "Ho", "Ho", "Ho", "Ho", "Ho", "Ho", "Bi", "Bi", "Bi", "Bi", "Sb", "Sb", "Sb", "Sb"], "frac_coords": [[0.060, 0.435, 0.745], [0.179, 0.304, 0.245], [0.304, 0.179, 0.745], [0.435, 0.060, 0.245], [0.565, 0.940, 0.755], [0.696, 0.821, 0.255], [0.821, 0.696, 0.755], [0.940, 0.565, 0.255], [0.314, 0.686, 0.250], [0.439, 0.561, 0.750], [0.561, 0.439, 0.250], [0.686, 0.314, 0.750], [0.063, 0.937, 0.250], [0.188, 0.812, 0.750], [0.812, 0.188, 0.250], [0.937, 0.063, 0.750]], "total_energy_ev_per_cell": -84.231, "space_group": "C2/c", "formation_energy_uncorrected_mev_per_atom": -975, "total_magnetization_mub_per_cell": 0.00, "e_above_lowest_polymorph_ev_per_atom": 0.000}

(6)
{"formula": "Ho8InOs2", "functional": "PBE", "state": "optimized geometry", "cell": [[4.387, -6.529, 0.000], [4.387, 6.529, 0.000], [-1.266, 0.000, 5.283]], "species": ["Ho", "Ho", "Ho", "Ho", "Ho", "Ho", "Ho", "Ho", "In", "Os", "Os"], "frac_coords": [[0.062, 0.330, 0.579], [0.248, 0.752, 0.000], [0.330, 0.062, 0.579], [0.384, 0.384, 0.202], [0.616, 0.616, 0.798], [0.670, 0.938, 0.421], [0.752, 0.248, 0.000], [0.938, 0.670, 0.421], [0.000, 0.000, 0.000], [0.316, 0.684, 0.500], [0.684, 0.316, 0.500]], "total_energy_ev_per_cell": -64.396, "space_group": "C2/m", "delta_e_f_ev_per_atom": -0.234, "total_magnetization_mub_per_cell": 0.00, "e_above_lowest_polymorph_ev_per_atom": 0.000}

(7)
{"formula": "CrB4W3", "functional": "PBE", "state": "optimized geometry", "cell": [[3.093, 0.000, 0.000], [0.000, 4.680, 0.000], [0.000, 0.000, 11.772]], "species": ["Cr", "Cr", "B", "B", "B", "B", "B", "B", "B", "B", "W", "W", "W", "W", "W", "W"], "frac_coords": [[0.000, 0.000, 0.000], [0.500, 0.500, 0.500], [0.000, 0.320, 0.130], [0.000, 0.320, 0.870], [0.000, 0.680, 0.130], [0.000, 0.680, 0.870], [0.500, 0.180, 0.370], [0.500, 0.180, 0.630], [0.500, 0.820, 0.370], [0.500, 0.820, 0.630], [0.000, 0.000, 0.500], [0.000, 0.500, 0.313], [0.000, 0.500, 0.687], [0.500, 0.000, 0.187], [0.500, 0.000, 0.813], [0.500, 0.500, 0.000]], "total_energy_ev_per_cell": -154.263, "space_group": "Immm", "delta_e_f_ev_per_atom": -0.242, "total_magnetization_mub_per_cell": 0.00}

(8)
{"formula": "CdAgHg2", "functional": "PBE", "state": "optimized geometry", "cell": [[3.114, 0.000, 0.000], [-1.557, 2.697, 0.000], [0.000, 0.000, 32.167]], "species": ["Cd", "Cd", "Cd", "Ag", "Ag", "Ag", "Hg", "Hg", "Hg", "Hg", "Hg", "Hg"], "frac_coords": [[0.000, 0.000, 0.000], [0.333, 0.667, 0.667], [0.667, 0.333, 0.333], [0.000, 0.000, 0.500], [0.333, 0.667, 0.167], [0.667, 0.333, 0.833], [0.000, 0.000, 0.243], [0.000, 0.000, 0.757], [0.333, 0.667, 0.423], [0.333, 0.667, 0.910], [0.667, 0.333, 0.090], [0.667, 0.333, 0.577]], "total_energy_ev_per_cell": -12.392, "space_group": "R-3m", "delta_e_f_ev_per_atom": 0.060, "total_magnetization_mub_per_cell": 0.00}

(9)
{"formula": "Sc2Ge2Rh", "functional": "PBE", "state": "optimized geometry", "cell": [[3.947, 0.000, 0.000], [0.000, 5.580, 0.000], [0.000, 0.000, 8.189]], "species": ["Sc", "Sc", "Sc", "Sc", "Ge", "Ge", "Ge", "Ge", "Rh", "Rh"], "frac_coords": [[0.000, 0.000, 0.210], [0.000, 0.000, 0.790], [0.500, 0.500, 0.290], [0.500, 0.500, 0.710], [0.000, 0.273, 0.500], [0.000, 0.727, 0.500], [0.500, 0.227, 0.000], [0.500, 0.773, 0.000], [0.000, 0.500, 0.000], [0.500, 0.000, 0.500]], "total_energy_ev_per_cell": -66.916, "space_group": "Immm", "delta_e_f_ev_per_atom": -0.842, "total_magnetization_mub_per_cell": 0.00}

(10)
{"formula": "Rb3YSe", "functional": "PBE", "state": "optimized geometry", "cell": [[6.651, 0.000, 0.000], [0.000, 6.651, 0.000], [0.000, 0.000, 6.651]], "species": ["Rb", "Rb", "Rb", "Y", "Se"], "frac_coords": [[0.000, 0.000, 0.500], [0.000, 0.500, 0.000], [0.500, 0.000, 0.000], [0.500, 0.500, 0.500], [0.000, 0.000, 0.000]], "total_energy_ev_per_cell": -12.663, "space_group": "Pm-3m", "formation_energy_uncorrected_mev_per_atom": 38, "total_magnetization_mub_per_cell": 1.96, "e_above_lowest_polymorph_ev_per_atom": 0.000}

(11)
{"formula": "ScNbBi", "functional": "PBE", "state": "optimized geometry", "cell": [[3.460, 0.000, 0.000], [0.000, 3.460, 0.000], [0.000, 0.000, 12.402]], "species": ["Sc", "Sc", "Nb", "Nb", "Bi", "Bi"], "frac_coords": [[0.250, 0.250, 0.198], [0.750, 0.750, 0.802], [0.250, 0.250, 0.945], [0.750, 0.750, 0.055], [0.250, 0.250, 0.636], [0.750, 0.750, 0.364]], "total_energy_ev_per_cell": -41.633, "space_group": "P4/nmm", "delta_e_f_ev_per_atom": -0.178, "total_magnetization_mub_per_cell": 0.00}

(12)
{"formula": "MnAlZnRh", "functional": "PBE", "state": "optimized geometry", "cell": [[6.045, 0.000, 0.000], [0.000, 6.045, 0.000], [0.000, 0.000, 6.045]], "species": ["Mn", "Mn", "Mn", "Mn", "Al", "Al", "Al", "Al", "Zn", "Zn", "Zn", "Zn", "Rh", "Rh", "Rh", "Rh"], "frac_coords": [[0.000, 0.000, 0.000], [0.000, 0.500, 0.500], [0.500, 0.000, 0.500], [0.500, 0.500, 0.000], [0.250, 0.250, 0.250], [0.250, 0.750, 0.750], [0.750, 0.250, 0.750], [0.750, 0.750, 0.250], [0.250, 0.250, 0.750], [0.250, 0.750, 0.250], [0.750, 0.250, 0.250], [0.750, 0.750, 0.750], [0.000, 0.000, 0.500], [0.000, 0.500, 0.000], [0.500, 0.000, 0.000], [0.500, 0.500, 0.500]], "total_energy_ev_per_cell": -92.774, "space_group": "F-43m", "delta_e_f_ev_per_atom": -0.414, "total_magnetization_mub_per_cell": 13.90}

(13)
{"formula": "LiHfMg2Ge", "functional": "PBE", "state": "optimized geometry", "cell": [[4.984, 0.000, 0.000], [0.000, 4.984, 0.000], [0.000, 0.000, 5.133]], "species": ["Li", "Hf", "Mg", "Mg", "Ge"], "frac_coords": [[0.000, 0.000, 0.000], [0.500, 0.500, 0.000], [0.000, 0.500, 0.500], [0.500, 0.000, 0.500], [0.500, 0.500, 0.500]], "total_energy_ev_per_cell": -17.801, "space_group": "P4/mmm", "delta_e_f_ev_per_atom": 0.375, "total_magnetization_mub_per_cell": 0.00}

(14)
{"formula": "PrHo6Sc6", "functional": "PBE", "state": "optimized geometry", "cell": [[6.401, 0.000, 0.000], [-3.200, 5.543, 0.000], [0.000, 0.000, 10.925]], "species": ["Pr", "Ho", "Ho", "Ho", "Ho", "Ho", "Ho", "Sc", "Sc", "Sc", "Sc", "Sc", "Sc"], "frac_coords": [[0.000, 0.000, 0.000], [0.000, 0.000, 0.343], [0.000, 0.000, 0.657], [0.333, 0.667, 0.000], [0.333, 0.667, 0.500], [0.667, 0.333, 0.000], [0.667, 0.333, 0.500], [0.000, 0.500, 0.243], [0.000, 0.500, 0.757], [0.500, 0.000, 0.243], [0.500, 0.000, 0.757], [0.500, 0.500, 0.243], [0.500, 0.500, 0.757]], "total_energy_ev_per_cell": -67.300, "space_group": "P6/mmm", "delta_e_f_ev_per_atom": 0.226, "total_magnetization_mub_per_cell": 0.84}

(15)
{"formula": "AcPm5Pr3", "functional": "PBE", "state": "optimized geometry", "cell": [[-3.694, 9.191, 4.835], [3.694, -9.191, 4.835], [3.694, 9.191, -4.835]], "species": ["Ac", "Ac", "Pm", "Pm", "Pm", "Pm", "Pm", "Pm", "Pm", "Pm", "Pm", "Pm", "Pr", "Pr", "Pr", "Pr", "Pr", "Pr"], "frac_coords": [[0.341, 0.091, 0.250], [0.659, 0.909, 0.750], [0.158, 0.331, 0.341], [0.158, 0.818, 0.828], [0.299, 0.549, 0.750], [0.490, 0.331, 0.672], [0.490, 0.818, 0.159], [0.510, 0.182, 0.841], [0.510, 0.669, 0.328], [0.701, 0.451, 0.250], [0.842, 0.182, 0.172], [0.842, 0.669, 0.659], [0.000, 0.000, 0.500], [0.000, 0.500, 0.000], [0.177, 0.245, 0.933], [0.188, 0.755, 0.433], [0.812, 0.245, 0.567], [0.823, 0.755, 0.067]], "total_energy_ev_per_cell": -82.008, "space_group": "Imma", "delta_e_f_ev_per_atom": 0.133, "total_magnetization_mub_per_cell": 0.00, "e_above_lowest_polymorph_ev_per_atom": 0.000}

(16)
{"formula": "NaAg3Hg", "functional": "PBE", "state": "optimized geometry", "cell": [[5.311, 0.000, 0.000], [0.000, 5.311, 0.000], [0.000, 0.000, 5.311]], "species": ["Na", "Ag", "Ag", "Ag", "Hg"], "frac_coords": [[0.000, 0.000, 0.000], [0.000, 0.500, 0.500], [0.500, 0.000, 0.500], [0.500, 0.500, 0.000], [0.500, 0.500, 0.500]], "total_energy_ev_per_cell": -8.424, "space_group": "Pm-3m", "delta_e_f_ev_per_atom": 0.350, "total_magnetization_mub_per_cell": 0.00, "e_above_lowest_polymorph_ev_per_atom": 0.237}

(17)
{"formula": "LuZrZnGa", "functional": "PBE", "state": "optimized geometry", "cell": [[6.817, 0.000, 0.000], [0.000, 6.817, 0.000], [0.000, 0.000, 6.817]], "species": ["Lu", "Lu", "Lu", "Lu", "Zr", "Zr", "Zr", "Zr", "Zn", "Zn", "Zn", "Zn", "Ga", "Ga", "Ga", "Ga"], "frac_coords": [[0.000, 0.000, 0.000], [0.000, 0.500, 0.500], [0.500, 0.000, 0.500], [0.500, 0.500, 0.000], [0.000, 0.000, 0.500], [0.000, 0.500, 0.000], [0.500, 0.000, 0.000], [0.500, 0.500, 0.500], [0.250, 0.250, 0.750], [0.250, 0.750, 0.250], [0.750, 0.250, 0.250], [0.750, 0.750, 0.750], [0.250, 0.250, 0.250], [0.250, 0.750, 0.750], [0.750, 0.250, 0.750], [0.750, 0.750, 0.250]], "total_energy_ev_per_cell": -75.754, "space_group": "F-43m", "delta_e_f_ev_per_atom": -0.392, "total_magnetization_mub_per_cell": 0.00}

(18)
{"formula": "Ti2MnCr", "functional": "PBE", "state": "optimized geometry", "cell": [[4.278, 0.000, 0.000], [0.000, 4.278, 0.000], [0.000, 0.000, 3.026]], "species": ["Ti", "Ti", "Mn", "Cr"], "frac_coords": [[0.000, 0.500, 0.000], [0.500, 0.000, 0.000], [0.000, 0.000, 0.500], [0.500, 0.500, 0.500]], "total_energy_ev_per_cell": -34.896, "space_group": "P4/mmm", "delta_e_f_ev_per_atom": -0.078, "total_magnetization_mub_per_cell": 2.32}

(19)
{"formula": "Zn3P", "functional": "PBE", "state": "optimized geometry", "cell": [[3.536, 0.000, 0.000], [0.000, 4.193, 0.000], [0.000, 0.000, 8.330]], "species": ["Zn", "Zn", "Zn", "Zn", "Zn", "Zn", "P", "P"], "frac_coords": [[0.000, 0.000, 0.000], [0.000, 0.500, 0.250], [0.000, 0.500, 0.750], [0.500, 0.000, 0.250], [0.500, 0.000, 0.750], [0.500, 0.500, 0.000], [0.000, 0.000, 0.500], [0.500, 0.500, 0.500]], "total_energy_ev_per_cell": -16.636, "space_group": "Cmmm", "delta_e_f_ev_per_atom": 0.228, "total_magnetization_mub_per_cell": 0.00, "e_above_lowest_polymorph_ev_per_atom": 0.192}

(20)
{"formula": "HgAs3P", "functional": "PBE", "state": "optimized geometry", "cell": [[4.842, 0.000, 0.000], [0.000, 4.842, 0.000], [0.000, 0.000, 4.842]], "species": ["Hg", "As", "As", "As", "P"], "frac_coords": [[0.000, 0.000, 0.000], [0.000, 0.500, 0.500], [0.500, 0.000, 0.500], [0.500, 0.500, 0.000], [0.500, 0.500, 0.500]], "total_energy_ev_per_cell": -16.341, "space_group": "Pm-3m", "delta_e_f_ev_per_atom": 0.664, "total_magnetization_mub_per_cell": 0.00, "e_above_lowest_polymorph_ev_per_atom": 0.000}